First-principles (PBE-GGA) data for crystalline K4U3AlN8 at its relaxed geometry, as listed in the Alexandria database.

Cell: 6.7714 7.4891 6.9215 Å, 117.14 119.29 90.00°
With the nearest neighbours (Å) after each atom.
Fractional coordinates of all 16 atoms:
1 K 0.5000 0.0000 0.0000  6 N 2.82-2.96
2 K 0.5000 0.0000 0.5000  6 N 2.90-3.01
3 K 0.0000 0.0000 0.0000  6 N 2.92-2.98
4 K 0.0000 0.0000 0.5000  6 N 2.90-3.01
5 U 0.5000 0.5000 0.0000  6 N 2.22-2.26
6 U 0.5000 0.5000 0.5000  6 N 2.18-2.26
7 U 0.0000 0.5000 0.5000  6 N 2.18-2.26
8 Al 0.0000 0.5000 0.0000  4 N 2.17
9 N 0.2138 0.6554 0.9373  1 Al 2.17, 2 U 2.22-2.26
10 N 0.2370 0.6709 0.4739  2 U 2.18
11 N 0.2805 0.3378 0.5611  3 U 2.22-2.26
12 N 0.7235 0.6554 0.9373  1 Al 2.17, 2 U 2.22-2.26
13 N 0.2765 0.3446 0.0627  1 Al 2.17, 2 U 2.22-2.26
14 N 0.7195 0.6622 0.4389  3 U 2.22-2.26
15 N 0.7630 0.3291 0.5261  2 U 2.18
16 N 0.7862 0.3446 0.0627  1 Al 2.17, 2 U 2.22-2.26

Computed properties:
N(E_F), states/eV per atom: 0.24
Space-group type: C2/m, No. 12
Energy, eV per atom: -7.621